1.
Material: ScVO2
Method: DFT, GGA+U
State: optimized geometry

Lattice parameters (Å, degrees): 6.8655 6.8655 6.8655 128.30 128.30 76.14
With the nearest neighbours (Å) after each atom.
Sites, in units of the cell vectors:
V 0.8750 0.1250 0.2500  4 O 2.16
V 0.3750 0.1250 0.2500  4 O 2.16
V 0.8750 0.1250 0.7500  4 O 2.16
V 0.8750 0.6250 0.7500  4 O 2.16
O 0.6759 0.4213 0.2546  2 V 2.16, 3 Sc 2.19-2.20
O 0.5787 0.3241 0.7454  2 V 2.16, 3 Sc 2.19-2.20
O 0.1713 0.4167 0.2454  2 V 2.16, 3 Sc 2.19-2.20
O 0.1713 0.9259 0.7546  2 V 2.16, 3 Sc 2.19-2.20
O 0.1667 0.4213 0.7454  2 V 2.16, 3 Sc 2.19-2.20
O 0.5833 0.8287 0.7546  2 V 2.16, 3 Sc 2.19-2.20
O 0.0741 0.8287 0.2454  2 V 2.16, 3 Sc 2.19-2.20
O 0.5787 0.8333 0.2546  2 V 2.16, 3 Sc 2.19-2.20
Sc 0.3750 0.1250 0.7500  6 O 2.19-2.20
Sc 0.8750 0.6250 0.2500  6 O 2.19-2.20
Sc 0.3750 0.6250 0.2500  6 O 2.19-2.20
Sc 0.3750 0.6250 0.7500  6 O 2.19-2.20

Crystal system = tetragonal

=====

2.
Material: KTiNiO3
Method: DFT, GGA+U
State: optimized geometry

Lattice parameters (Å, degrees): 5.4932 5.5632 6.8480 113.97 90.00 90.00
With the nearest neighbours (Å) after each atom.
Sites, in units of the cell vectors:
Ti 0.2500 0.0521 0.1042  1 O 1.74
Ti 0.7500 0.9479 0.8958  1 O 1.74
Ni 0.2500 0.4884 0.9768  4 O 2.05
Ni 0.7500 0.5116 0.0232  4 O 2.05
O 0.0000 0.7724 0.0000  2 Ti 1.98, 2 Ni 2.05
O 0.7500 0.8089 0.6178  1 Ti 1.74
O 0.0000 0.2276 0.0000  2 Ti 1.98, 2 Ni 2.05
O 0.5000 0.7724 0.0000  2 Ti 1.98, 2 Ni 2.05
O 0.2500 0.1911 0.3822  1 Ti 1.74
O 0.5000 0.2276 0.0000  2 Ti 1.98, 2 Ni 2.05
K 0.7500 0.2481 0.4963  4 O 2.84-2.88
K 0.2500 0.7519 0.5037  4 O 2.84-2.88

Crystal system = orthorhombic

=====

How do the records compare in E? In the order shown, they have -8.111, -6.422 eV per atom.